A geometry-optimized NiAuO2 structure. Source: Alexandria, functional PBE with a Hubbard U.

a b c (Å): 5.870 5.870 5.870
angles (deg): 34.20 34.20 34.20
Positions (direct):
Ni 0.000 0.000 0.000
Au 0.500 0.500 0.500
O 0.111 0.111 0.111
O 0.889 0.889 0.889

Summary:
Calculated total energy ... -3.77 eV per atom
Density of states at the Fermi level ... 1.495 states/eV/f.u.